# VMoC GGA-PBE relaxed
data_VMoC
_cell_length_a 5.106
_cell_length_b 5.106
_cell_length_c 5.106
_cell_angle_alpha 149.45
_cell_angle_beta 149.45
_cell_angle_gamma 43.75
_symmetry_space_group_name_H-M 'P 1'
_symmetry_Int_Tables_number 1
_symmetry_space_group_name_Hall 'P 1'
loop_
_atom_site_label
_atom_site_fract_x
_atom_site_fract_y
_atom_site_fract_z
_atom_site_occupancy
V1 0.000 0.000 0.000 1
Mo1 0.741 0.741 0.000 1
C1 0.374 0.374 0.000 1
# Energy (eV per atom): -9.4876
# Formation enthalpy at 0 K (eV/atom): 0.24
# Fermi-level density of states (states/eV/f.u.): 0.893
# Magnetic moment (μB/atom): 0.00
# Space group: I4mm, No. 107

=====

# Tb5Tm7 GGA-PBE relaxed
data_Tb5Tm7
_cell_length_a 9.322
_cell_length_b 9.322
_cell_length_c 12.912
_cell_angle_alpha 117.64
_cell_angle_beta 117.64
_cell_angle_gamma 21.80
_symmetry_space_group_name_H-M 'P 1'
_symmetry_Int_Tables_number 1
_symmetry_space_group_name_Hall 'P 1'
loop_
_atom_site_label
_atom_site_fract_x
_atom_site_fract_y
_atom_site_fract_z
_atom_site_occupancy
Tb1 0.000 0.000 0.000 1
Tb2 0.166 0.166 0.499 1
Tb3 0.305 0.305 0.249 1
Tb4 0.695 0.695 0.751 1
Tb5 0.834 0.834 0.501 1
Tm1 0.028 0.028 0.750 1
Tm2 0.334 0.334 0.002 1
Tm3 0.362 0.362 0.751 1
Tm4 0.500 0.500 0.500 1
Tm5 0.638 0.638 0.249 1
Tm6 0.666 0.666 0.998 1
Tm7 0.972 0.972 0.250 1
# Energy (eV per atom): -4.5326
# Formation enthalpy at 0 K (eV/atom): 0.01
# Fermi-level density of states (states/eV/f.u.): 16.621
# Magnetic moment (μB/atom): 0.00
# Space group: C2/m, No. 12

=====

# LiVCd GGA-PBE relaxed
data_LiVCd
_cell_length_a 7.849
_cell_length_b 7.849
_cell_length_c 2.888
_cell_angle_alpha 91.88
_cell_angle_beta 91.88
_cell_angle_gamma 145.61
_symmetry_space_group_name_H-M 'P 1'
_symmetry_Int_Tables_number 1
_symmetry_space_group_name_Hall 'P 1'
loop_
_atom_site_label
_atom_site_fract_x
_atom_site_fract_y
_atom_site_fract_z
_atom_site_occupancy
Li1 0.188 0.812 0.000 1
Li2 0.812 0.188 0.000 1
V1 0.198 0.198 0.884 1
V2 0.802 0.802 0.116 1
Cd1 0.355 0.645 0.500 1
Cd2 0.645 0.355 0.500 1
# Energy (eV per atom): -3.8344
# Formation enthalpy at 0 K (eV/atom): 0.15
# Fermi-level density of states (states/eV/f.u.): 1.936
# Magnetic moment (μB/atom): 0.00
# Space group: C2/m, No. 12

=====

# ZrAsPt2 GGA-PBE relaxed
data_ZrAsPt2
_cell_length_a 5.733
_cell_length_b 5.733
_cell_length_c 3.826
_cell_angle_alpha 90.03
_cell_angle_beta 90.03
_cell_angle_gamma 35.42
_symmetry_space_group_name_H-M 'P 1'
_symmetry_Int_Tables_number 1
_symmetry_space_group_name_Hall 'P 1'
loop_
_atom_site_label
_atom_site_fract_x
_atom_site_fract_y
_atom_site_fract_z
_atom_site_occupancy
Zr1 0.000 0.000 0.000 1
As1 0.761 0.761 0.000 1
Pt1 0.359 0.359 0.498 1
Pt2 0.608 0.608 0.500 1
# Energy (eV per atom): -6.9895
# Formation enthalpy at 0 K (eV/atom): -0.67
# Fermi-level density of states (states/eV/f.u.): 2.515
# Magnetic moment (μB/atom): 0.00
# Space group: Cm, No. 8

=====

# CdTeAu GGA-PBE relaxed
data_CdTeAu
_cell_length_a 4.822
_cell_length_b 5.303
_cell_length_c 7.030
_cell_angle_alpha 72.27
_cell_angle_beta 75.49
_cell_angle_gamma 84.48
_symmetry_space_group_name_H-M 'P 1'
_symmetry_Int_Tables_number 1
_symmetry_space_group_name_Hall 'P 1'
loop_
_atom_site_label
_atom_site_fract_x
_atom_site_fract_y
_atom_site_fract_z
_atom_site_occupancy
Cd1 0.000 0.000 0.000 1
Cd2 0.278 0.328 0.466 1
Te1 0.006 0.844 0.435 1
Te2 0.687 0.505 0.070 1
Au1 0.484 0.868 0.713 1
Au2 0.493 0.317 0.815 1
# Energy (eV per atom): -2.5900
# Raw formation energy (eV/f.u.): -0.44
# Magnetic moment (μB/atom): 0.00
# Space group: P1, No. 1

=====

# Li4AlCl GGA-PBE relaxed
data_Li4AlCl
_cell_length_a 5.548
_cell_length_b 5.548
_cell_length_c 5.548
_cell_angle_alpha 60.00
_cell_angle_beta 60.00
_cell_angle_gamma 60.00
_symmetry_space_group_name_H-M 'P 1'
_symmetry_Int_Tables_number 1
_symmetry_space_group_name_Hall 'P 1'
loop_
_atom_site_label
_atom_site_fract_x
_atom_site_fract_y
_atom_site_fract_z
_atom_site_occupancy
Li1 0.123 0.123 0.123 1
Li2 0.123 0.123 0.630 1
Li3 0.123 0.630 0.123 1
Li4 0.630 0.123 0.123 1
Al1 0.750 0.750 0.750 1
Cl1 0.500 0.500 0.500 1
# Energy (eV per atom): -2.2222
# Raw formation energy (eV/f.u.): -0.09
# Fermi-level density of states (states/eV/f.u.): 2.485
# Magnetic moment (μB/atom): 0.00
# Space group: F-43m, No. 216

=====

# TiNiP2S GGA-PBE relaxed
data_TiNiP2S
_cell_length_a 4.678
_cell_length_b 4.678
_cell_length_c 4.574
_cell_angle_alpha 90.00
_cell_angle_beta 90.00
_cell_angle_gamma 90.00
_symmetry_space_group_name_H-M 'P 1'
_symmetry_Int_Tables_number 1
_symmetry_space_group_name_Hall 'P 1'
loop_
_atom_site_label
_atom_site_fract_x
_atom_site_fract_y
_atom_site_fract_z
_atom_site_occupancy
Ti1 0.000 0.000 0.000 1
Ni1 0.500 0.500 0.500 1
P1 0.000 0.500 0.000 1
P2 0.500 0.000 0.000 1
S1 0.000 0.000 0.500 1
# Energy (eV per atom): -5.2088
# Raw formation energy (eV/f.u.): 2.58
# Fermi-level density of states (states/eV/f.u.): 5.592
# Magnetic moment (μB/atom): 0.12
# Space group: P4/mmm, No. 123

=====

# ZnHgRu3 GGA-PBE relaxed
data_ZnHgRu3
_cell_length_a 4.595
_cell_length_b 4.595
_cell_length_c 4.595
_cell_angle_alpha 90.00
_cell_angle_beta 90.00
_cell_angle_gamma 90.00
_symmetry_space_group_name_H-M 'P 1'
_symmetry_Int_Tables_number 1
_symmetry_space_group_name_Hall 'P 1'
loop_
_atom_site_label
_atom_site_fract_x
_atom_site_fract_y
_atom_site_fract_z
_atom_site_occupancy
Zn1 0.000 0.000 0.000 1
Hg1 0.500 0.500 0.500 1
Ru1 0.000 0.000 0.500 1
Ru2 0.000 0.500 0.000 1
Ru3 0.500 0.000 0.000 1
# Energy (eV per atom): -4.4176
# Formation enthalpy at 0 K (eV/atom): 1.46
# Fermi-level density of states (states/eV/f.u.): 4.711
# Magnetic moment (μB/atom): 1.17
# Space group: Pm-3m, No. 221

=====

# AlMoAs2 GGA-PBE relaxed
data_AlMoAs2
_cell_length_a 4.508
_cell_length_b 4.508
_cell_length_c 3.272
_cell_angle_alpha 90.00
_cell_angle_beta 90.00
_cell_angle_gamma 102.31
_symmetry_space_group_name_H-M 'P 1'
_symmetry_Int_Tables_number 1
_symmetry_space_group_name_Hall 'P 1'
loop_
_atom_site_label
_atom_site_fract_x
_atom_site_fract_y
_atom_site_fract_z
_atom_site_occupancy
Al1 0.000 0.000 0.000 1
Mo1 0.500 0.500 0.000 1
As1 0.000 0.500 0.500 1
As2 0.500 0.000 0.500 1
# Energy (eV per atom): -5.8074
# Formation enthalpy at 0 K (eV/atom): 0.16
# Fermi-level density of states (states/eV/f.u.): 2.111
# Magnetic moment (μB/atom): 0.00
# Space group: Cmmm, No. 65

=====

# HoTmPu2Se4 GGA-PBE relaxed
data_HoTmPu2Se4
_cell_length_a 7.033
_cell_length_b 4.065
_cell_length_c 7.164
_cell_angle_alpha 90.00
_cell_angle_beta 109.15
_cell_angle_gamma 90.00
_symmetry_space_group_name_H-M 'P 1'
_symmetry_Int_Tables_number 1
_symmetry_space_group_name_Hall 'P 1'
loop_
_atom_site_label
_atom_site_fract_x
_atom_site_fract_y
_atom_site_fract_z
_atom_site_occupancy
Ho1 0.000 0.000 0.000 1
Tm1 0.500 0.500 0.000 1
Pu1 0.000 0.500 0.500 1
Pu2 0.500 0.000 0.500 1
Se1 0.249 0.500 0.242 1
Se2 0.255 0.000 0.760 1
Se3 0.745 0.000 0.240 1
Se4 0.751 0.500 0.758 1
# Energy (eV per atom): -8.1009
# Raw formation energy (eV/f.u.): -13.16
# Fermi-level density of states (states/eV/f.u.): 17.159
# Magnetic moment (μB/atom): 1.48
# Space group: P2/m, No. 10

=====

# CaPmGe GGA-PBE relaxed
data_CaPmGe
_cell_length_a 5.039
_cell_length_b 5.039
_cell_length_c 5.039
_cell_angle_alpha 60.00
_cell_angle_beta 60.00
_cell_angle_gamma 60.00
_symmetry_space_group_name_H-M 'P 1'
_symmetry_Int_Tables_number 1
_symmetry_space_group_name_Hall 'P 1'
loop_
_atom_site_label
_atom_site_fract_x
_atom_site_fract_y
_atom_site_fract_z
_atom_site_occupancy
Ca1 0.000 0.000 0.000 1
Pm1 0.500 0.500 0.500 1
Ge1 0.750 0.750 0.750 1
# Energy (eV per atom): -4.3260
# Formation enthalpy at 0 K (eV/atom): -0.54
# Fermi-level density of states (states/eV/f.u.): 2.124
# Magnetic moment (μB/atom): 0.00
# Space group: F-43m, No. 216

=====

# Tb2SmSn9 GGA-PBE relaxed
data_Tb2SmSn9
_cell_length_a 4.806
_cell_length_b 4.806
_cell_length_c 13.757
_cell_angle_alpha 90.00
_cell_angle_beta 90.00
_cell_angle_gamma 90.00
_symmetry_space_group_name_H-M 'P 1'
_symmetry_Int_Tables_number 1
_symmetry_space_group_name_Hall 'P 1'
loop_
_atom_site_label
_atom_site_fract_x
_atom_site_fract_y
_atom_site_fract_z
_atom_site_occupancy
Tb1 0.000 0.000 0.166 1
Tb2 0.000 0.000 0.834 1
Sm1 0.000 0.000 0.500 1
Sn1 0.000 0.500 0.000 1
Sn2 0.000 0.500 0.331 1
Sn3 0.000 0.500 0.669 1
Sn4 0.500 0.000 0.000 1
Sn5 0.500 0.000 0.331 1
Sn6 0.500 0.000 0.669 1
Sn7 0.500 0.500 0.166 1
Sn8 0.500 0.500 0.500 1
Sn9 0.500 0.500 0.834 1
# Energy (eV per atom): -4.6178
# Formation enthalpy at 0 K (eV/atom): -0.45
# Fermi-level density of states (states/eV/f.u.): 5.558
# Magnetic moment (μB/atom): 0.00
# Space group: P4/mmm, No. 123